No. 1
First-principles (meta-GGA SCAN) data for Y5Mg at its PBEsol-relaxed geometry, as listed in Alexandria.

a b c (Å): 6.540 6.540 8.200
angles (deg): 104.20 104.20 31.61
Atoms (fractional coordinates):
Y 0.000 0.000 0.000
Y 0.039 0.039 0.609
Y 0.388 0.388 0.269
Y 0.668 0.668 0.348
Y 0.718 0.718 0.932
Mg 0.327 0.327 0.669

Size of the total moment = 1.24 μB/f.u.
Polymorph energy (0 for the lowest one) = 0.06 kcal/mol of atoms
Crystal system = monoclinic
Symmetry = Cm, No. 8

=====

No. 2
First-principles (meta-GGA SCAN) data for Zn2AgP at its PBEsol-relaxed geometry, as listed in Alexandria.

a b c (Å): 4.894 4.894 4.894
angles (deg): 133.59 133.46 67.83
Atoms (fractional coordinates):
Zn 0.000 0.000 0.000
Zn 0.750 0.250 0.500
Ag 0.251 0.751 0.500
P 0.501 0.501 0.000

E_tot = -16.97 eV/atom
Size of the total moment = 0.00 μB/f.u.
Crystal system = orthorhombic
Symmetry = Imm2, No. 44

=====

No. 3
First-principles (meta-GGA SCAN) data for Sc2TeP at its PBEsol-relaxed geometry, as listed in Alexandria.

a b c (Å): 6.943 6.943 6.943
angles (deg): 32.16 32.16 32.16
Atoms (fractional coordinates):
Sc 0.236 0.236 0.236
Sc 0.764 0.764 0.764
Te 0.000 0.000 0.000
P 0.500 0.500 0.500

E_form (uncorrected) = -1534.3 meV per atom
Size of the total moment = 0.00 μB/f.u.
Polymorph energy (0 for the lowest one) = 0.00 kcal/mol of atoms
Crystal system = trigonal
Symmetry = R-3m, No. 166